No. 1
Below is an optimized crystal structure of Sm2Ga2Ge, with properties calculated at the PBE-GGA level.

Unit cell a=4.2042 b=5.9571 c=10.1703 alpha=82.51 beta=78.07 gamma=69.34
With the nearest neighbours (Å) after each atom.
Fractional coordinates of all 10 atoms:
Ga1 0.9835 0.6330 0.4000  1 Ga 2.41, 2 Ge 2.51
Ga2 0.6332 0.8473 0.8863  1 Ge 2.58
Ga3 0.3668 0.1527 0.1137  1 Ge 2.58
Ga4 0.0165 0.3670 0.6000  1 Ga 2.41, 2 Ge 2.51
Ge1 0.4263 0.8342 0.3133  3 Ga 2.51-2.58
Ge2 0.5737 0.1658 0.6867  3 Ga 2.51-2.58
Sm1 0.2934 0.7693 0.6438  4 Ge 3.10-3.36, 7 Ga 3.12-3.33
Sm2 0.0988 0.7042 0.0981  6 Ga 3.00-3.28, 2 Ge 3.12
Sm3 0.7066 0.2307 0.3562  4 Ge 3.10-3.36, 7 Ga 3.12-3.33
Sm4 0.9012 0.2958 0.9019  6 Ga 3.00-3.28, 2 Ge 3.12

The electronic total energy comes out at -4.7018 eV per atom. The calculation puts the formation energy from the elements at -0.680 eV/atom. For the size of the total moment, the calculation gives 0.00 μB/atom. Its space group is C2/m (12). The energy above the most stable polymorph in this dataset is 0 meV/atom. The density comes out at 7318 kg/m3.

No. 2
Below is an optimized crystal structure of SmGaTcGe2, with properties calculated at the PBE-GGA level.

Unit cell a=5.8574 b=5.7099 c=5.6980 alpha=90.00 beta=90.00 gamma=90.00
With the nearest neighbours (Å) after each atom.
Fractional coordinates of all 10 atoms:
Ge1 0.7327 0.2500 0.7331  2 Tc 2.61, 1 Ga 2.61, 1 Ge 2.66
Ge2 0.2673 0.7500 0.7331  2 Tc 2.61, 1 Ga 2.61, 1 Ge 2.66
Ge3 0.7327 0.2500 0.2669  2 Tc 2.61, 1 Ga 2.61, 1 Ge 2.66
Ge4 0.2673 0.7500 0.2669  2 Tc 2.61, 1 Ga 2.61, 1 Ge 2.66
Ga1 0.6294 0.7500 0.0000  2 Tc 2.60, 2 Ge 2.61
Ga2 0.3706 0.2500 0.0000  2 Tc 2.60, 2 Ge 2.61
Sm1 0.2197 0.2500 0.5000  2 Ga 2.98, 8 Ge 3.15-3.28
Sm2 0.7803 0.7500 0.5000  2 Ga 2.98, 8 Ge 3.15-3.28
Tc1 0.0000 0.5000 0.0000  2 Ga 2.60, 4 Ge 2.61, 2 Tc 2.85
Tc2 0.0000 0.0000 0.0000  2 Ga 2.60, 4 Ge 2.61, 2 Tc 2.85

The electronic total energy comes out at -5.9297 eV per atom. The calculation puts the formation energy from the elements at -0.460 eV/atom. For the size of the total moment, the calculation gives 0.04 μB/atom. Its space group is Pmma (51). The density comes out at 8075 kg/m3.

No. 3
Below is an optimized crystal structure of SmThGaGe, with properties calculated at the PBE-GGA level.

Unit cell a=4.4319 b=4.1040 c=6.0089 alpha=90.00 beta=111.64 gamma=90.00
With the nearest neighbours (Å) after each atom.
Fractional coordinates of all 4 atoms:
Sm1 0.1395 0.0000 0.2791  4 Ga 3.09, 3 Ge 3.15-3.29
Ge1 0.4213 0.0000 0.8425  2 Ga 2.71
Ga1 0.5799 0.5000 0.1599  2 Ge 2.71
Th1 0.8593 0.5000 0.7186  4 Ge 3.10, 3 Ga 3.12-3.31

The electronic total energy comes out at -5.6439 eV per atom. The calculation puts the formation energy from the elements at -0.698 eV/atom. For the size of the total moment, the calculation gives 0.00 μB/atom. Its space group is Amm2 (38). The density comes out at 8578 kg/m3.

No. 4
Below is an optimized crystal structure of SmYGaGe, with properties calculated at the PBE-GGA level.

Unit cell a=4.3760 b=4.0432 c=5.8942 alpha=90.00 beta=111.79 gamma=90.00
With the nearest neighbours (Å) after each atom.
Fractional coordinates of all 4 atoms:
Sm1 0.1406 0.0000 0.2812  4 Ga 3.06, 3 Ge 3.07-3.25
Ga1 0.5771 0.5000 0.1542  2 Ge 2.64
Ge1 0.4214 0.0000 0.8428  2 Ga 2.64
Y1 0.8610 0.5000 0.7219  4 Ge 3.05, 3 Ga 3.11-3.22

The electronic total energy comes out at -5.5047 eV per atom. The calculation puts the formation energy from the elements at -0.798 eV/atom. For the size of the total moment, the calculation gives 0.00 μB/atom. Its space group is Amm2 (38). The energy above the most stable polymorph in this dataset is 0 meV/atom. The density comes out at 6544 kg/m3.

No. 5
Below is an optimized crystal structure of SmYGaGe, with properties calculated at the PBE-GGA level.

Unit cell a=5.1172 b=5.1172 c=5.1172 alpha=60.00 beta=60.00 gamma=60.00
With the nearest neighbours (Å) after each atom.
Fractional coordinates of all 4 atoms:
Ge1 0.5000 0.5000 0.5000  4 Sm 3.13, 4 Y 3.13
Sm1 0.7500 0.7500 0.7500  4 Ge 3.13, 4 Ga 3.13
Y1 0.2500 0.2500 0.2500  4 Ge 3.13, 4 Ga 3.13
Ga1 0.0000 0.0000 0.0000  4 Sm 3.13, 4 Y 3.13

The electronic total energy comes out at -5.2910 eV per atom. The calculation puts the formation energy from the elements at -0.584 eV/atom. For the size of the total moment, the calculation gives 0.00 μB/atom. Its space group is F-43m (216). The energy above the most stable polymorph in this dataset is 214 meV/atom. The density comes out at 6688 kg/m3.

No. 6
Below is an optimized crystal structure of GaSn2Ge, with properties calculated at the PBE-GGA level.

Unit cell a=3.6825 b=3.6825 c=6.9596 alpha=90.00 beta=90.00 gamma=90.00
With the nearest neighbours (Å) after each atom.
Fractional coordinates of all 4 atoms:
Sn1 0.0000 0.0000 0.7679  4 Ge 3.06, 4 Ga 3.20, 1 Sn 3.23
Sn2 0.0000 0.0000 0.2321  4 Ge 3.06, 4 Ga 3.20, 1 Sn 3.23
Ge1 0.5000 0.5000 0.0000  8 Sn 3.06
Ga1 0.5000 0.5000 0.5000  8 Sn 3.20, 2 Ge 3.48

The electronic total energy comes out at -3.7848 eV per atom. The calculation puts the formation energy from the elements at 0.128 eV/atom. For the size of the total moment, the calculation gives 0.00 μB/atom. Its space group is P4/mmm (123). The energy above the most stable polymorph in this dataset is 47 meV/atom. The density comes out at 6682 kg/m3.

No. 7
Below is an optimized crystal structure of Ga3SnGe, with properties calculated at the PBE-GGA level.

Unit cell a=4.9914 b=4.9914 c=4.9914 alpha=90.00 beta=90.00 gamma=90.00
With the nearest neighbours (Å) after each atom.
Fractional coordinates of all 5 atoms:
Sn1 0.5000 0.5000 0.5000  12 Ga 3.53
Ga1 0.0000 0.5000 0.0000  2 Ge 2.50
Ga2 0.0000 0.0000 0.5000  2 Ge 2.50
Ga3 0.5000 0.0000 0.0000  2 Ge 2.50
Ge1 0.0000 0.0000 0.0000  6 Ga 2.50

The electronic total energy comes out at -3.1752 eV per atom. The calculation puts the formation energy from the elements at 0.365 eV/atom. For the size of the total moment, the calculation gives 0.00 μB/atom. Its space group is Pm-3m (221). The energy above the most stable polymorph in this dataset is 0 meV/atom. The density comes out at 5348 kg/m3.

No. 8
Below is an optimized crystal structure of GaSn2Ge, with properties calculated at the PBE-GGA level.

Unit cell a=5.0980 b=5.0980 c=5.0980 alpha=60.00 beta=60.00 gamma=60.00
With the nearest neighbours (Å) after each atom.
Fractional coordinates of all 4 atoms:
Sn1 0.2500 0.2500 0.2500  4 Ge 3.12, 4 Ga 3.12
Sn2 0.7500 0.7500 0.7500  4 Ge 3.12, 4 Ga 3.12
Ge1 0.5000 0.5000 0.5000  8 Sn 3.12
Ga1 0.0000 0.0000 0.0000  8 Sn 3.12

The electronic total energy comes out at -3.7628 eV per atom. The calculation puts the formation energy from the elements at 0.150 eV/atom. For the size of the total moment, the calculation gives 0.00 μB/atom. Its space group is Fm-3m (225). The energy above the most stable polymorph in this dataset is 69 meV/atom. The density comes out at 6731 kg/m3.

Q: Look up the electronic total energy of the seventh one.
A: -3.1752 eV per atom

Repeat the seventh record exactly.
Below is an optimized crystal structure of Ga3SnGe, with properties calculated at the PBE-GGA level.

Unit cell a=4.9914 b=4.9914 c=4.9914 alpha=90.00 beta=90.00 gamma=90.00
With the nearest neighbours (Å) after each atom.
Fractional coordinates of all 5 atoms:
Sn1 0.5000 0.5000 0.5000  12 Ga 3.53
Ga1 0.0000 0.5000 0.0000  2 Ge 2.50
Ga2 0.0000 0.0000 0.5000  2 Ge 2.50
Ga3 0.5000 0.0000 0.0000  2 Ge 2.50
Ge1 0.0000 0.0000 0.0000  6 Ga 2.50

The electronic total energy comes out at -3.1752 eV per atom. The calculation puts the formation energy from the elements at 0.365 eV/atom. For the size of the total moment, the calculation gives 0.00 μB/atom. Its space group is Pm-3m (221). The energy above the most stable polymorph in this dataset is 0 meV/atom. The density comes out at 5348 kg/m3.

Repeat the fourth record exactly.
Below is an optimized crystal structure of SmYGaGe, with properties calculated at the PBE-GGA level.

Unit cell a=4.3760 b=4.0432 c=5.8942 alpha=90.00 beta=111.79 gamma=90.00
With the nearest neighbours (Å) after each atom.
Fractional coordinates of all 4 atoms:
Sm1 0.1406 0.0000 0.2812  4 Ga 3.06, 3 Ge 3.07-3.25
Ga1 0.5771 0.5000 0.1542  2 Ge 2.64
Ge1 0.4214 0.0000 0.8428  2 Ga 2.64
Y1 0.8610 0.5000 0.7219  4 Ge 3.05, 3 Ga 3.11-3.22

The electronic total energy comes out at -5.5047 eV per atom. The calculation puts the formation energy from the elements at -0.798 eV/atom. For the size of the total moment, the calculation gives 0.00 μB/atom. Its space group is Amm2 (38). The energy above the most stable polymorph in this dataset is 0 meV/atom. The density comes out at 6544 kg/m3.